1.
HfRePCl2 | PBE | relaxed

## Properties
* E_form (uncorrected): 544 meV per atom
* total DFT energy (no corrections): -5.757 eV per atom

a = 4.837 Å, b = 4.837 Å, c = 5.246 Å
α = 90.00°, β = 90.00°, γ = 90.00°
Space group P4/mmm (No. 123)
Unique sites:
Hf: 0.000 0.000 0.000 x1
Re: 0.500 0.500 0.500 x1
P: 0.000 0.000 0.500 x1
Cl: 0.000 0.500 0.000 x2

=====

2.
HfP2RhCl | PBE | relaxed

## Properties
* E_form (uncorrected): 460 meV per atom
* total DFT energy (no corrections): -5.534 eV per atom

a = 4.996 Å, b = 4.996 Å, c = 4.792 Å
α = 90.00°, β = 90.00°, γ = 90.00°
Space group P4/mmm (No. 123)
Unique sites:
Hf: 0.000 0.000 0.000 x1
P: 0.000 0.500 0.000 x2
Rh: 0.500 0.500 0.500 x1
Cl: 0.000 0.000 0.500 x1

=====

3.
HfP2RhCl | PBE | relaxed

## Properties
* E_form (uncorrected): 325 meV per atom
* total DFT energy (no corrections): -5.669 eV per atom

a = 4.611 Å, b = 4.611 Å, c = 4.586 Å
α = 90.00°, β = 90.00°, γ = 90.00°
Space group P4/mmm (No. 123)
Unique sites:
Hf: 0.000 0.000 0.000 x1
P: 0.000 0.500 0.500 x2
Rh: 0.500 0.500 0.500 x1
Cl: 0.500 0.500 0.000 x1

=====

4.
HfPRuCl2 | PBE | relaxed

## Properties
* E_form (uncorrected): 430 meV per atom
* total DFT energy (no corrections): -5.236 eV per atom

a = 4.614 Å, b = 4.614 Å, c = 4.722 Å
α = 90.00°, β = 90.00°, γ = 90.00°
Space group P4/mmm (No. 123)
Unique sites:
Hf: 0.000 0.000 0.000 x1
P: 0.500 0.500 0.000 x1
Ru: 0.500 0.500 0.500 x1
Cl: 0.000 0.500 0.500 x2

=====

5.
HfPRuCl2 | PBE | relaxed

## Properties
* E_form (uncorrected): 258 meV per atom
* total DFT energy (no corrections): -5.408 eV per atom

a = 4.841 Å, b = 4.841 Å, c = 5.191 Å
α = 90.00°, β = 90.00°, γ = 90.00°
Space group P4/mmm (No. 123)
Unique sites:
Hf: 0.000 0.000 0.000 x1
P: 0.000 0.000 0.500 x1
Ru: 0.500 0.500 0.500 x1
Cl: 0.000 0.500 0.000 x2

=====

6.
HfPS2Cl | PBE | relaxed

## Properties
* E_form (uncorrected): -82 meV per atom
* total DFT energy (no corrections): -5.175 eV per atom

a = 4.829 Å, b = 4.829 Å, c = 5.298 Å
α = 90.00°, β = 90.00°, γ = 90.00°
Space group P4/mmm (No. 123)
Unique sites:
Hf: 0.000 0.000 0.000 x1
P: 0.000 0.000 0.500 x1
S: 0.000 0.500 0.000 x2
Cl: 0.500 0.500 0.500 x1

=====

7.
HfPS2Cl | PBE | relaxed

## Properties
* E_form (uncorrected): 754 meV per atom
* total DFT energy (no corrections): -4.339 eV per atom

a = 4.570 Å, b = 4.570 Å, c = 4.489 Å
α = 90.00°, β = 90.00°, γ = 90.00°
Space group P4/mmm (No. 123)
Unique sites:
Hf: 0.000 0.000 0.000 x1
P: 0.500 0.500 0.000 x1
S: 0.000 0.500 0.500 x2
Cl: 0.500 0.500 0.500 x1

=====

8.
HfPSCl2 | PBE | relaxed

## Properties
* E_form (uncorrected): 619 meV per atom
* total DFT energy (no corrections): -4.018 eV per atom

a = 4.607 Å, b = 4.607 Å, c = 4.807 Å
α = 90.00°, β = 90.00°, γ = 90.00°
Space group P4/mmm (No. 123)
Unique sites:
Hf: 0.000 0.000 0.000 x1
P: 0.500 0.500 0.000 x1
S: 0.500 0.500 0.500 x1
Cl: 0.000 0.500 0.500 x2

=====

9.
HfPS2Cl | PBE | relaxed

## Properties
* E_form (uncorrected): 249 meV per atom
* total DFT energy (no corrections): -4.844 eV per atom

a = 4.593 Å, b = 4.593 Å, c = 4.420 Å
α = 90.00°, β = 90.00°, γ = 90.00°
Space group P4/mmm (No. 123)
Unique sites:
Hf: 0.000 0.000 0.000 x1
P: 0.500 0.500 0.500 x1
S: 0.000 0.500 0.500 x2
Cl: 0.500 0.500 0.000 x1

=====

10.
HfPSCl2 | PBE | relaxed

## Properties
* E_form (uncorrected): 426 meV per atom
* total DFT energy (no corrections): -4.211 eV per atom

a = 4.617 Å, b = 4.617 Å, c = 4.879 Å
α = 90.00°, β = 90.00°, γ = 90.00°
Space group P4/mmm (No. 123)
Unique sites:
Hf: 0.000 0.000 0.000 x1
P: 0.500 0.500 0.500 x1
S: 0.500 0.500 0.000 x1
Cl: 0.000 0.500 0.500 x2

=====

11.
HfPS2Cl | PBE | relaxed

## Properties
* E_form (uncorrected): -221 meV per atom
* total DFT energy (no corrections): -5.314 eV per atom

a = 4.965 Å, b = 4.965 Å, c = 4.974 Å
α = 90.00°, β = 90.00°, γ = 90.00°
Space group P4/mmm (No. 123)
Unique sites:
Hf: 0.000 0.000 0.000 x1
P: 0.500 0.500 0.500 x1
S: 0.000 0.500 0.000 x2
Cl: 0.000 0.000 0.500 x1

=====

12.
HfPSCl2 | PBE | relaxed

## Properties
* E_form (uncorrected): -240 meV per atom
* total DFT energy (no corrections): -4.877 eV per atom

a = 4.778 Å, b = 4.778 Å, c = 5.337 Å
α = 90.00°, β = 90.00°, γ = 90.00°
Space group P4/mmm (No. 123)
Unique sites:
Hf: 0.000 0.000 0.000 x1
P: 0.000 0.000 0.500 x1
S: 0.500 0.500 0.500 x1
Cl: 0.000 0.500 0.000 x2

=====

no.,total moment (μB per formula unit)
1,5.2
2,1.5
3,0.0
4,0.0
5,3.1
6,0.0
7,0.0
8,0.9
9,0.9
10,1.9
11,2.0
12,0.0